## CdSn3Pb (PBE)

Data for CdSn3Pb after structural relaxation.

Summary:
ΔE_f	112	meV per atom
DOS(E_F)	8.81	states/eV per cell

```
data_CdSn3Pb
_chemical_formula_sum 'Cd4 Sn12 Pb4'
_space_group_name_H-M_alt 'C 1 2/m 1'
_space_group_IT_number 12
_space_group_name_Hall '-C 2y'
_cell_length_a 13.960
_cell_length_b 4.608
_cell_length_c 9.594
_cell_angle_alpha 90.00
_cell_angle_beta 94.22
_cell_angle_gamma 90.00
loop_
_atom_site_label
_atom_site_fract_x
_atom_site_fract_y
_atom_site_fract_z
_atom_site_occupancy
Cd1 0.193 0.000 0.441 1
Sn1 0.033 0.000 0.652 1
Sn2 0.111 0.000 0.125 1
Sn3 0.247 0.500 0.233 1
Pb1 0.093 0.500 0.871 1
```